Entry from the Alexandria database: MgBeV2O6 after structural relaxation (GGA+U).

The structure in extended XYZ format:
```
20
Lattice="4.486 -5.183 0.000 4.486 5.183 0.000 -2.192 0.000 4.885" Properties=species:S:1:pos:R:3 pbc="T T T"
Mg 2.841 4.287 3.664
Mg 3.938 -4.287 1.221
Be 3.938 3.422 1.221
Be 2.841 -3.422 3.664
V 1.370 1.007 4.085
V 2.466 -1.007 1.642
V 4.313 1.007 3.243
V 5.409 -1.007 0.800
O -0.360 0.821 3.292
O 1.509 2.667 4.632
O 0.736 -0.821 0.849
O 2.324 0.676 2.498
O 4.174 2.667 2.695
O 3.420 -0.676 0.055
O 3.359 0.676 4.830
O 2.605 -2.667 2.190
O 4.455 -0.676 2.387
O 6.043 0.821 4.036
O 5.270 -2.667 0.253
O 7.139 -0.821 1.593
```

Electronic total energy: -144.0 eV/cell